No. 1
The following is a GGA-PBEsol calculation of EuAgGe after structural relaxation, from the Alexandria database.

Cell: 4.570 5.761 5.877 Å, 79.24 67.12 66.63°
Sites, in units of the cell vectors:
Eu 0.460 0.784 0.297
Eu 0.540 0.216 0.703
Ag 0.828 0.616 0.729
Ag 0.172 0.384 0.271
Ge 0.156 0.795 0.893
Ge 0.844 0.205 0.107

Properties
For the size of the total moment, the calculation gives 6.87 μB per formula unit. The calculation puts the density at 8.44 Mg/m³. The calculation puts the raw total energy at -6.78 eV per atom. The space-group type is C2/m (12). The calculation puts the volume at 130.78 Å³ per cell.

No. 2
The following is a GGA-PBEsol calculation of Cr2CdSe after structural relaxation, from the Alexandria database.

Cell: 2.946 2.946 8.570 Å, 80.10 80.10 60.00°
Sites, in units of the cell vectors:
Cd 0.259 0.259 0.224
Cr 0.017 0.017 0.950
Cr 0.744 0.744 0.769
Se 0.481 0.481 0.556

Properties
The uncorrected formation energy is 232 meV/atom. For the size of the total moment, the calculation gives 0.00 μB per formula unit. The calculation puts the density at 7.77 Mg/m³. The space-group type is R3m (160). The calculation puts the volume at 63.15 Å³ per cell.

No. 3
The following is a GGA-PBEsol calculation of SnBiS2 after structural relaxation, from the Alexandria database.

Cell: 4.939 4.939 4.939 Å, 60.00 60.00 60.00°
Sites, in units of the cell vectors:
S 0.250 0.250 0.250
S 0.750 0.750 0.750
Bi 0.500 0.500 0.500
Sn 0.000 0.000 0.000

Properties
The uncorrected formation energy is -187 meV/atom. For the size of the total moment, the calculation gives 0.00 μB per formula unit. The calculation puts the density at 7.64 Mg/m³. The space-group type is Fm-3m (225). The calculation puts the volume at 85.20 Å³ per cell.

No. 4
The following is a GGA-PBEsol calculation of BaCaTiF7 after structural relaxation, from the Alexandria database.

Cell: 5.618 9.409 10.834 Å, 90.00 90.00 92.07°
Sites, in units of the cell vectors:
Ba 0.272 0.526 0.656
Ba 0.728 0.974 0.156
Ba 0.728 0.474 0.344
Ba 0.272 0.026 0.844
Ca 0.715 0.864 0.569
Ca 0.285 0.636 0.069
Ca 0.715 0.364 0.931
Ca 0.285 0.136 0.431
Ti 0.200 0.793 0.345
Ti 0.800 0.207 0.655
Ti 0.200 0.293 0.155
Ti 0.800 0.707 0.845
F 0.091 0.101 0.611
F 0.347 0.392 0.009
F 0.484 0.728 0.256
F 0.516 0.272 0.744
F 0.910 0.363 0.554
F 0.284 0.474 0.236
F 0.008 0.723 0.200
F 0.090 0.137 0.054
F 0.347 0.892 0.491
F 0.516 0.772 0.756
F 0.091 0.601 0.889
F 0.909 0.899 0.389
F 0.992 0.777 0.700
F 0.403 0.853 0.016
F 0.090 0.637 0.446
F 0.910 0.863 0.946
F 0.992 0.277 0.800
F 0.909 0.399 0.111
F 0.597 0.647 0.516
F 0.653 0.608 0.991
F 0.597 0.147 0.984
F 0.008 0.223 0.300
F 0.403 0.353 0.484
F 0.716 0.026 0.736
F 0.716 0.526 0.764
F 0.284 0.974 0.264
F 0.653 0.108 0.509
F 0.484 0.228 0.244

Properties
The uncorrected formation energy is -3659 meV/atom. For the size of the total moment, the calculation gives 1.00 μB per formula unit. The calculation puts the density at 4.16 Mg/m³. The space-group type is P2_1/c (14). The calculation puts the volume at 572.21 Å³ per cell.